{
  "formula": "PuNp2NiN4",
  "functional": "GGA-PBE",
  "state": "optimized geometry",
  "cell": [[-2.335, 1.623, -1.912], [-2.623, -4.625, 2.348], [-2.991, 6.241, 8.952]],
  "species": ["N", "N", "N", "N", "N", "N", "N", "N", "Ni", "Ni", "Np", "Np", "Np", "Np", "Pu", "Pu"],
  "frac_coords": [[0.267, 0.534, 0.112], [0.267, 0.534, 0.388], [0.000, 0.000, 0.000], [0.000, 0.000, 0.500], [0.450, 0.900, 0.750], [0.550, 0.100, 0.250], [0.733, 0.466, 0.888], [0.733, 0.466, 0.612], [0.162, 0.325, 0.250], [0.838, 0.675, 0.750], [0.629, 0.259, 0.442], [0.371, 0.741, 0.942], [0.629, 0.259, 0.058], [0.371, 0.741, 0.558], [0.895, 0.790, 0.250], [0.105, 0.210, 0.750]],
  "total_energy_ev_per_atom": -10.87,
  "total_magnetization_mub_per_cell": 20.0,
  "formation_energy_uncorrected_ev_per_atom": -0.956,
  "sg": "Cmcm, No. 63"
}